No. 1
DFT (meta-GGA SCAN) results for a crystal of RePt2 relaxed with PBEsol.

a = 2.751 Å, b = 5.223 Å, c = 6.635 Å
α = 104.97°, β = 90.00°, γ = 105.27°
Atoms (fractional coordinates):
Re 0.299 0.597 0.362
Re 0.701 0.403 0.638
Pt 0.976 0.951 0.687
Pt 0.357 0.714 0.961
Pt 0.643 0.286 0.039
Pt 0.024 0.049 0.313

Summary:
The value obtained for the energy above the most stable polymorph in this dataset is 0.104 eV per atom. The value obtained for the raw total energy is -70.556 eV/atom. The value obtained for the formation energy is -0.0616 eV/atom. The space group is C2/m (12). Its spin magnetization is 0.0 μB per formula unit.

No. 2
DFT (meta-GGA SCAN) results for a crystal of RePt8 relaxed with PBEsol.

a = 3.889 Å, b = 6.189 Å, c = 6.189 Å
α = 84.33°, β = 71.69°, γ = 71.69°
Atoms (fractional coordinates):
Pt 0.000 0.329 0.671
Pt 0.000 0.671 0.329
Pt 0.329 0.671 0.671
Pt 0.339 0.000 0.323
Pt 0.339 0.323 0.000
Pt 0.671 0.329 0.329
Pt 0.661 0.677 0.000
Pt 0.661 0.000 0.677
Re 0.000 0.000 0.000

Summary:
The value obtained for the raw total energy is -70.318 eV/atom. The value obtained for the formation energy is -0.0240 eV/atom. The space group is I4/mmm (139). Its spin magnetization is 0.0 μB per formula unit.

No. 3
DFT (meta-GGA SCAN) results for a crystal of RePt2 relaxed with PBEsol.

a = 2.754 Å, b = 2.754 Å, c = 6.741 Å
α = 90.00°, β = 90.00°, γ = 120.00°
Atoms (fractional coordinates):
Re 0.000 0.000 0.000
Pt 0.667 0.333 0.325
Pt 0.333 0.667 0.675

Summary:
The value obtained for the energy above the most stable polymorph in this dataset is 0.099 eV per atom. The value obtained for the raw total energy is -70.561 eV/atom. The value obtained for the formation energy is -0.0666 eV/atom. The space group is P-3m1 (164). Its spin magnetization is 0.0 μB per formula unit.

No. 4
DFT (meta-GGA SCAN) results for a crystal of RePtRh2 relaxed with PBEsol.

a = 2.699 Å, b = 3.812 Å, c = 5.456 Å
α = 90.00°, β = 90.00°, γ = 90.00°
Atoms (fractional coordinates):
Re 0.500 0.500 0.500
Rh 0.000 0.000 0.740
Rh 0.000 0.000 0.260
Pt 0.500 0.500 0.000

Summary:
The value obtained for the energy above the most stable polymorph in this dataset is 0.014 eV per atom. The value obtained for the raw total energy is -52.356 eV/atom. The value obtained for the formation energy is -0.1477 eV/atom. The space group is Pmmm (47). Its spin magnetization is 0.0 μB per formula unit.